DFT (PBE-GGA) results for a relaxed Nb4Sb5Ir5 crystal.

- Calculated volume: 21.40 Å³ per atom
- Space group: I-4, No. 82
- VASP energy: -112.08 eV for the cell shown

Cell lengths 7.596, 7.596, 7.596 Å; angles 99.74, 99.74, 131.42 degrees
Atoms (fractional coordinates):
1 Nb 0.093 0.694 0.796
2 Nb 0.306 0.102 0.399
3 Nb 0.703 0.907 0.601
4 Nb 0.898 0.297 0.204
5 Sb 0.000 0.000 0.000
6 Sb 0.226 0.419 0.630
7 Sb 0.403 0.774 0.193
8 Sb 0.581 0.211 0.807
9 Sb 0.789 0.597 0.370
10 Ir 0.012 0.335 0.894
11 Ir 0.250 0.750 0.500
12 Ir 0.441 0.118 0.106
13 Ir 0.665 0.559 0.677
14 Ir 0.882 0.988 0.323

---

DFT (PBE-GGA) results for a relaxed Nb2SbIr crystal.

- Calculated volume: 17.75 Å³ per atom
- Space group: F-43m, No. 216
- VASP energy: -33.10 eV for the cell shown

Cell lengths 4.648, 4.648, 4.648 Å; angles 60.00, 60.00, 60.00 degrees
Atoms (fractional coordinates):
1 Nb 0.000 0.000 0.000
2 Nb 0.250 0.250 0.250
3 Sb 0.500 0.500 0.500
4 Ir 0.750 0.750 0.750

---

DFT (PBE-GGA) results for a relaxed ScNbSb2Ir2 crystal.

- Calculated volume: 20.61 Å³ per atom
- Space group: Pmn2_1, No. 31
- VASP energy: -94.10 eV for the cell shown

Cell lengths 4.445, 8.867, 6.275 Å; angles 90.00, 90.00, 90.00 degrees
Atoms (fractional coordinates):
1 Sc 0.000 0.125 0.000
2 Sc 0.500 0.875 0.500
3 Nb 0.000 0.624 0.989
4 Nb 0.500 0.376 0.489
5 Sb 0.000 0.119 0.503
6 Sb 0.000 0.631 0.484
7 Sb 0.500 0.369 0.984
8 Sb 0.500 0.881 0.003
9 Ir 0.000 0.384 0.731
10 Ir 0.000 0.864 0.758
11 Ir 0.500 0.136 0.258
12 Ir 0.500 0.616 0.231

---

DFT (PBE-GGA) results for a relaxed ScNb2Ir crystal.

- Energy of formation from the pure elements: -306 meV per atom
- Calculated volume: 17.30 Å³ per atom
- Space group: F-43m, No. 216
- VASP energy: -36.59 eV for the cell shown

Cell lengths 4.608, 4.608, 4.608 Å; angles 60.00, 60.00, 60.00 degrees
Atoms (fractional coordinates):
1 Sc 0.000 0.000 0.000
2 Nb 0.500 0.500 0.500
3 Nb 0.750 0.750 0.750
4 Ir 0.250 0.250 0.250

---

DFT (PBE-GGA) results for a relaxed NbSi2Ir crystal.

- Calculated volume: 15.29 Å³ per atom
- Space group: F-43m, No. 216
- VASP energy: -29.85 eV for the cell shown

Cell lengths 4.422, 4.422, 4.422 Å; angles 60.00, 60.00, 60.00 degrees
Atoms (fractional coordinates):
1 Nb 0.000 0.000 0.000
2 Si 0.500 0.500 0.500
3 Si 0.750 0.750 0.750
4 Ir 0.250 0.250 0.250

---

DFT (PBE-GGA) results for a relaxed TaNbSi2Ir2 crystal.

- Calculated volume: 17.56 Å³ per atom
- Space group: Pm, No. 6
- VASP energy: -219.27 eV for the cell shown

Cell lengths 8.416, 4.208, 12.624 Å; angles 90.00, 109.47, 90.00 degrees
Atoms (fractional coordinates):
1 Ta 0.000 0.000 0.000
2 Ta 0.125 0.500 0.750
3 Ta 0.250 0.000 0.500
4 Ta 0.500 0.000 0.000
5 Nb 0.375 0.500 0.250
6 Nb 0.625 0.500 0.750
7 Nb 0.750 0.000 0.500
8 Nb 0.875 0.500 0.250
9 Si 0.000 0.500 0.500
10 Si 0.125 0.000 0.250
11 Si 0.250 0.500 0.000
12 Si 0.375 0.000 0.750
13 Si 0.500 0.500 0.500
14 Si 0.625 0.000 0.250
15 Si 0.750 0.500 0.000
16 Si 0.875 0.000 0.750
17 Ir 0.062 0.500 0.124
18 Ir 0.188 0.000 0.875
19 Ir 0.312 0.500 0.625
20 Ir 0.437 0.000 0.375
21 Ir 0.562 0.500 0.124
22 Ir 0.688 0.000 0.875
23 Ir 0.813 0.500 0.625
24 Ir 0.938 0.000 0.375

---

DFT (PBE-GGA) results for a relaxed SmNbIr crystal.

- Polymorph energy (0 for the lowest one): 23.873 kcal/mol of atoms
- Energy of formation from the pure elements: 1014 meV per atom
- Calculated volume: 22.79 Å³ per atom
- Space group: F-43m, No. 216
- VASP energy: -20.62 eV for the cell shown

Cell lengths 4.590, 4.590, 4.590 Å; angles 60.00, 60.00, 60.00 degrees
Atoms (fractional coordinates):
1 Sm 0.000 0.000 0.000
2 Nb 0.250 0.250 0.250
3 Ir 0.750 0.750 0.750

---

DFT (PBE-GGA) results for a relaxed SmNbIr crystal.

- Polymorph energy (0 for the lowest one): 0.000 kcal/mol of atoms
- Energy of formation from the pure elements: -21 meV per atom
- Calculated volume: 23.48 Å³ per atom
- Space group: F-43m, No. 216
- VASP energy: -23.72 eV for the cell shown

Cell lengths 4.635, 4.635, 4.635 Å; angles 60.00, 60.00, 60.00 degrees
Atoms (fractional coordinates):
1 Sm 0.000 0.000 0.000
2 Nb 0.500 0.500 0.500
3 Ir 0.750 0.750 0.750